[1]
A relaxed structure of CsPrCuO2, computed with PBE.

Cell: 6.5643 5.3156 7.2586 Å, 90.00 90.11 90.00°
With the nearest neighbours (Å) after each atom.
Sites, in units of the cell vectors:
Cs 0.0000 0.0029 0.2500  4 O 3.26-3.28, 2 Cs 3.63
Cs 0.0000 0.9971 0.7500  4 O 3.26-3.28, 2 Cs 3.63
Pr 0.5000 0.5004 0.2500  4 O 2.37
Pr 0.5000 0.4996 0.7500  4 O 2.37
Cu 0.5000 0.0000 0.0000  2 O 1.87
Cu 0.5000 0.0000 0.5000  2 O 1.87
O 0.3401 0.2909 0.4996  1 Cu 1.87
O 0.3401 0.7091 0.9996  1 Cu 1.87
O 0.6599 0.2909 0.0004  1 Cu 1.87
O 0.6599 0.7091 0.5004  1 Cu 1.87

Values from the calculation:
- total energy (eV/atom) = -5.48
- symmetry = No. 13
- ΔE_f (raw) (eV per atom) = -1.5550
- total magnetic moment (μB per formula unit) = 0.00

***

[2]
A relaxed structure of BaZr2Se, computed with PBE.

Cell: 6.1576 6.1576 6.1576 Å, 137.39 137.39 61.85°
With the nearest neighbours (Å) after each atom.
Sites, in units of the cell vectors:
Ba 0.0000 0.0000 0.0000  4 Se 3.16, 8 Zr 3.46
Zr 0.2500 0.7500 0.5000  4 Zr 3.16, 4 Ba 3.46, 4 Se 3.46
Zr 0.7500 0.2500 0.5000  4 Zr 3.16, 4 Ba 3.46, 4 Se 3.46
Se 0.5000 0.5000 0.0000  4 Ba 3.16, 8 Zr 3.46

Values from the calculation:
- total energy (eV/atom) = -5.49
- symmetry = No. 139
- ΔE_f (raw) (eV per atom) = 0.1327
- total magnetic moment (μB per formula unit) = 0.14

***

[3]
A relaxed structure of TmZrPa, computed with PBE.

Cell: 9.6289 9.6289 5.0890 Å, 90.00 90.00 160.90°
With the nearest neighbours (Å) after each atom.
Sites, in units of the cell vectors:
Tm 0.0485 0.9515 0.7500  4 Tm 3.14-3.19, 1 Zr 3.18, 4 Pa 3.36
Tm 0.9515 0.0485 0.2500  4 Tm 3.14-3.19, 1 Zr 3.18, 4 Pa 3.36
Zr 0.2160 0.7840 0.7500  1 Pa 2.96, 1 Tm 3.18, 6 Zr 3.19-3.27
Zr 0.7840 0.2160 0.2500  1 Pa 2.96, 1 Tm 3.18, 6 Zr 3.19-3.27
Pa 0.3719 0.6281 0.7500  1 Zr 2.96, 2 Pa 3.19
Pa 0.6281 0.3719 0.2500  1 Zr 2.96, 2 Pa 3.19

Values from the calculation:
- total energy (eV/atom) = -7.33
- symmetry = No. 63
- energy above the most stable polymorph in this dataset (eV/atom) = 0.032
- calculated formation energy (eV/atom) = 0.173
- total magnetic moment (μB per formula unit) = 0.00

***

[4]
A relaxed structure of NbSiRu2, computed with PBE.

Cell: 5.5353 5.5353 5.5353 Å, 104.07 104.07 120.92°
With the nearest neighbours (Å) after each atom.
Sites, in units of the cell vectors:
Nb 0.0000 0.0000 0.0000  2 Si 2.73, 8 Ru 2.76-2.98
Nb 0.7500 0.2500 0.5000  2 Si 2.73, 8 Ru 2.76-2.98
Si 0.2500 0.7500 0.5000  4 Ru 2.28
Si 0.5000 0.5000 0.0000  4 Ru 2.28
Ru 0.1772 0.1250 0.5522  2 Si 2.28
Ru 0.3750 0.8228 0.9478  2 Si 2.28
Ru 0.5728 0.6250 0.4478  2 Si 2.28
Ru 0.8750 0.4272 0.0522  2 Si 2.28

Values from the calculation:
- total energy (eV/atom) = -8.40
- symmetry = No. 122
- ΔE_f (raw) (eV per atom) = 0.1133
- total magnetic moment (μB per formula unit) = 0.00

***

Number 1: density 4.8 Mg/m³. Number 2: density 6.3 Mg/m³. Number 3: density 10.6 Mg/m³. Number 4: density 8.5 Mg/m³.